Crystalline ScNiIr at its relaxed geometry, computed with GGA-PBE.

Summary:
DFT total energy in eV per formula unit: -22.78
SG: P6_3/mmc
Polymorph energy (0 for the lowest one) in eV per atom: 0.100
Magnetic moment in μB/f.u.: 0.0

a = 4.332 Å, b = 4.332 Å, c = 5.438 Å
α = 90.00°, β = 90.00°, γ = 120.00°
Element x y z (fractional)
Sc: 0.333 0.667 0.250
Sc: 0.667 0.333 0.750
Ni: 0.333 0.667 0.750
Ni: 0.667 0.333 0.250
Ir: 0.000 0.000 0.000
Ir: 0.000 0.000 0.500

Crystalline Sc4NiIr2 at its relaxed geometry, computed with GGA-PBE.

Summary:
DFT total energy in eV per formula unit: -54.43
SG: R-3m
Magnetic moment in μB/f.u.: 0.0

a = 7.810 Å, b = 7.810 Å, c = 7.810 Å
α = 33.67°, β = 33.67°, γ = 33.67°
Element x y z (fractional)
Sc: 0.123 0.123 0.123
Sc: 0.373 0.373 0.373
Sc: 0.627 0.627 0.627
Sc: 0.877 0.877 0.877
Ni: 0.500 0.500 0.500
Ir: 0.248 0.248 0.248
Ir: 0.752 0.752 0.752

Crystalline Sc3NiIr at its relaxed geometry, computed with GGA-PBE.

Summary:
DFT total energy in eV per formula unit: -33.58
SG: Pm-3m
Polymorph energy (0 for the lowest one) in eV per atom: 0.624
Magnetic moment in μB/f.u.: 0.0

a = 4.687 Å, b = 4.687 Å, c = 4.687 Å
α = 90.00°, β = 90.00°, γ = 90.00°
Element x y z (fractional)
Sc: 0.000 0.000 0.500
Sc: 0.000 0.500 0.000
Sc: 0.500 0.000 0.000
Ni: 0.000 0.000 0.000
Ir: 0.500 0.500 0.500

Crystalline ScNiIr at its relaxed geometry, computed with GGA-PBE.

Summary:
DFT total energy in eV per formula unit: -20.60
SG: F-43m
Polymorph energy (0 for the lowest one) in eV per atom: 0.829
Magnetic moment in μB/f.u.: 0.0

a = 4.218 Å, b = 4.218 Å, c = 4.218 Å
α = 60.00°, β = 60.00°, γ = 60.00°
Element x y z (fractional)
Sc: 0.000 0.000 0.000
Ni: 0.250 0.250 0.250
Ir: 0.750 0.750 0.750

Crystalline ScNiIr at its relaxed geometry, computed with GGA-PBE.

Summary:
DFT total energy in eV per formula unit: -23.08
SG: Imma
Polymorph energy (0 for the lowest one) in eV per atom: 0.000
Magnetic moment in μB/f.u.: 0.0

a = 5.063 Å, b = 5.063 Å, c = 5.063 Å
α = 122.54°, β = 117.10°, γ = 90.37°
Element x y z (fractional)
Sc: 0.372 0.122 0.250
Sc: 0.628 0.878 0.750
Ni: 0.000 0.000 0.500
Ni: 0.000 0.500 0.000
Ir: 0.000 0.500 0.500
Ir: 0.500 0.500 0.000

Crystalline ScNiIr at its relaxed geometry, computed with GGA-PBE.

Summary:
DFT total energy in eV per formula unit: -22.65
SG: Cm
Polymorph energy (0 for the lowest one) in eV per atom: 0.143
Magnetic moment in μB/f.u.: 0.0

a = 4.708 Å, b = 4.708 Å, c = 5.408 Å
α = 104.14°, β = 104.14°, γ = 50.97°
Element x y z (fractional)
Sc: 0.000 0.000 0.000
Sc: 0.716 0.716 0.375
Ni: 0.036 0.036 0.532
Ni: 0.353 0.353 0.688
Ir: 0.363 0.363 0.197
Ir: 0.669 0.669 0.838

Crystalline ScNiIr at its relaxed geometry, computed with GGA-PBE.

Summary:
DFT total energy in eV per formula unit: -22.12
SG: Imm2
Polymorph energy (0 for the lowest one) in eV per atom: 0.319
Magnetic moment in μB/f.u.: 0.0

a = 4.880 Å, b = 4.880 Å, c = 4.880 Å
α = 145.60°, β = 135.43°, γ = 57.48°
Element x y z (fractional)
Sc: 0.000 0.000 0.000
Ni: 0.316 0.316 0.000
Ir: 0.677 0.677 0.000

Crystalline Sc8NiIr2 at its relaxed geometry, computed with GGA-PBE.

Summary:
DFT total energy in eV per formula unit: -78.74
SG: Cm
Magnetic moment in μB/f.u.: 0.0

a = 7.136 Å, b = 7.136 Å, c = 5.310 Å
α = 100.56°, β = 100.56°, γ = 112.21°
Element x y z (fractional)
Sc: 0.000 0.000 0.000
Sc: 0.023 0.279 0.592
Sc: 0.148 0.577 0.186
Sc: 0.279 0.023 0.592
Sc: 0.435 0.690 0.791
Sc: 0.577 0.148 0.186
Sc: 0.690 0.435 0.791
Sc: 0.726 0.726 0.370
Ni: 0.365 0.365 0.053
Ir: 0.044 0.666 0.686
Ir: 0.666 0.044 0.686